Computed, not measured: a relaxed structure of ScSb2Mo at the PBE level of DFT.

Calculated values
M_tot ... 0.640 μB per atom
Formation energy from raw total energies ... 0.394 eV/atom
N(E_F) ... 4.11 states/eV/f.u.

Geometry as extended XYZ:
```
8
Lattice="6.190 0.000 0.000 0.000 6.190 0.000 3.095 3.095 6.835" Properties=species:S:1:pos:R:3 pbc="T T T"
Sc 3.095 3.095 0.000
Sc 3.095 6.190 3.417
Sb 4.820 1.547 1.709
Sb 1.370 4.642 1.709
Sb 4.642 4.465 5.126
Sb 7.737 7.915 5.126
Mo 0.000 0.000 0.000
Mo 6.190 3.095 3.417
```



Computed, not measured: a relaxed structure of Eu2InPt2 at the PBE level of DFT.

Calculated values
E_form ... -0.9011 eV per atom
M_tot ... 2.829 μB per atom
N(E_F) ... 16.85 states/eV/f.u.

Geometry as extended XYZ:
```
10
Lattice="-3.796 -0.377 -4.428 5.093 -2.958 -0.258 -4.800 -5.075 4.547" Properties=species:S:1:pos:R:3 pbc="T T T"
Eu 1.121 -3.945 0.509
Eu -1.107 -1.816 -1.619
Eu -4.622 -4.465 -0.648
Eu -2.395 -6.593 1.481
Pt -1.091 -7.213 4.351
Pt -2.055 -3.460 0.999
Pt 1.385 -0.819 -0.062
Pt -1.447 -4.950 -1.138
In -4.416 -1.588 -2.615
In -4.180 -3.864 2.734
```